--- one ---
# AsSNCl2

A relaxed structure of AsSNCl2 (PBE, Alexandria via LeMat-Bulk).

Fermi-level density of states (states/eV/cell): 2.2

Cell: 4.2288 4.2288 4.6242 Å, 90.00 90.00 90.00°
Space group P4/mmm (No. 123)
Symmetry-distinct sites (fractional):
As1 0.0000 0.0000 0.0000 (multiplicity 1)
S1 0.5000 0.5000 0.0000 (multiplicity 1)
N1 0.5000 0.5000 0.5000 (multiplicity 1)
Cl1 0.0000 0.5000 0.5000 (multiplicity 2)

---

--- two ---
# AsSNCl2

A relaxed structure of AsSNCl2 (PBE, Alexandria via LeMat-Bulk).

Fermi-level density of states (states/eV/cell): 4.4

Cell: 5.0634 5.0634 4.7493 Å, 90.00 90.00 90.00°
Space group P4/mmm (No. 123)
Symmetry-distinct sites (fractional):
As1 0.0000 0.0000 0.0000 (multiplicity 1)
S1 0.0000 0.0000 0.5000 (multiplicity 1)
N1 0.5000 0.5000 0.5000 (multiplicity 1)
Cl1 0.0000 0.5000 0.0000 (multiplicity 2)

---

Stability, lowest: one

---

--- one ---
# AsSN2Cl

A relaxed structure of AsSN2Cl (PBE, Alexandria via LeMat-Bulk).

Fermi-level density of states (states/eV/cell): 2.5

Cell: 3.8896 3.8896 4.6219 Å, 90.00 90.00 90.00°
Space group P4/mmm (No. 123)
Symmetry-distinct sites (fractional):
As1 0.0000 0.0000 0.0000 (multiplicity 1)
S1 0.5000 0.5000 0.0000 (multiplicity 1)
N1 0.0000 0.5000 0.5000 (multiplicity 2)
Cl1 0.5000 0.5000 0.5000 (multiplicity 1)

---

--- two ---
# AsSN2Cl

A relaxed structure of AsSN2Cl (PBE, Alexandria via LeMat-Bulk).

Fermi-level density of states (states/eV/cell): 3.5

Cell: 3.6355 3.6355 6.0106 Å, 90.00 90.00 90.00°
Space group P4/mmm (No. 123)
Symmetry-distinct sites (fractional):
As1 0.0000 0.0000 0.0000 (multiplicity 1)
S1 0.0000 0.0000 0.5000 (multiplicity 1)
N1 0.0000 0.5000 0.0000 (multiplicity 2)
Cl1 0.5000 0.5000 0.5000 (multiplicity 1)

---

Stability, lowest: one

---

--- one ---
# AsS2NCl

A relaxed structure of AsS2NCl (PBE, Alexandria via LeMat-Bulk).

Fermi-level density of states (states/eV/cell): 3.0

Cell: 4.8876 4.8876 3.4951 Å, 90.00 90.00 90.00°
Space group P4/mmm (No. 123)
Symmetry-distinct sites (fractional):
As1 0.0000 0.0000 0.0000 (multiplicity 1)
S1 0.0000 0.5000 0.5000 (multiplicity 2)
N1 0.5000 0.5000 0.0000 (multiplicity 1)
Cl1 0.5000 0.5000 0.5000 (multiplicity 1)

---

--- two ---
# AsS2NCl

A relaxed structure of AsS2NCl (PBE, Alexandria via LeMat-Bulk).

Fermi-level density of states (states/eV/cell): 6.2

Cell: 4.8921 4.8921 3.7195 Å, 90.00 90.00 90.00°
Space group P4/mmm (No. 123)
Symmetry-distinct sites (fractional):
As1 0.0000 0.0000 0.0000 (multiplicity 1)
S1 0.0000 0.5000 0.0000 (multiplicity 2)
N1 0.0000 0.0000 0.5000 (multiplicity 1)
Cl1 0.5000 0.5000 0.5000 (multiplicity 1)

---

--- three ---
# AsS2NCl

A relaxed structure of AsS2NCl (PBE, Alexandria via LeMat-Bulk).

Fermi-level density of states (states/eV/cell): 5.1

Cell: 4.7562 4.7562 5.1039 Å, 90.00 90.00 90.00°
Space group P4/mmm (No. 123)
Symmetry-distinct sites (fractional):
As1 0.0000 0.0000 0.0000 (multiplicity 1)
S1 0.0000 0.5000 0.0000 (multiplicity 2)
N1 0.5000 0.5000 0.5000 (multiplicity 1)
Cl1 0.0000 0.0000 0.5000 (multiplicity 1)

---

--- four ---
# AsS2NCl

A relaxed structure of AsS2NCl (PBE, Alexandria via LeMat-Bulk).

Fermi-level density of states (states/eV/cell): 2.8

Cell: 4.3430 4.3430 4.1218 Å, 90.00 90.00 90.00°
Space group P4/mmm (No. 123)
Symmetry-distinct sites (fractional):
As1 0.0000 0.0000 0.0000 (multiplicity 1)
S1 0.0000 0.5000 0.5000 (multiplicity 2)
N1 0.5000 0.5000 0.5000 (multiplicity 1)
Cl1 0.5000 0.5000 0.0000 (multiplicity 1)

---

Stability, lowest: one

---

--- one ---
# Te2AsNCl

A relaxed structure of Te2AsNCl (PBE, Alexandria via LeMat-Bulk).

Fermi-level density of states (states/eV/cell): 6.6

Cell: 5.8187 5.8187 3.5786 Å, 90.00 90.00 90.00°
Space group P4/mmm (No. 123)
Symmetry-distinct sites (fractional):
Te1 0.0000 0.5000 0.0000 (multiplicity 2)
As1 0.0000 0.0000 0.0000 (multiplicity 1)
N1 0.0000 0.0000 0.5000 (multiplicity 1)
Cl1 0.5000 0.5000 0.5000 (multiplicity 1)

---

--- two ---
# Te2AsNCl

A relaxed structure of Te2AsNCl (PBE, Alexandria via LeMat-Bulk).

Fermi-level density of states (states/eV/cell): 5.3

Cell: 6.2133 6.2133 3.2389 Å, 90.00 90.00 90.00°
Space group P4/mmm (No. 123)
Symmetry-distinct sites (fractional):
Te1 0.0000 0.5000 0.0000 (multiplicity 2)
As1 0.0000 0.0000 0.5000 (multiplicity 1)
N1 0.5000 0.5000 0.5000 (multiplicity 1)
Cl1 0.5000 0.5000 0.0000 (multiplicity 1)

---

Stability, lowest: two